## La4Mg3 (PBE)

Data for a relaxed La4Mg3 crystal.

Results
As for the space group: No. 191. The energy of formation from the pure elements comes out at -0.031 eV per atom. The offset from the most stable computed form is 5 meV per atom.

a b c (Å): 6.177 6.177 6.697
angles (deg): 90.00 90.00 120.00
Fractional coordinates of all 7 atoms:
La 0.000 0.000 0.228
La 0.000 0.000 0.772
La 0.333 0.667 0.000
La 0.667 0.333 0.000
Mg 0.000 0.500 0.500
Mg 0.500 0.000 0.500
Mg 0.500 0.500 0.500